A relaxed structure of ScFeP. Source: the Alexandria database, functional GGA-PBE.

* space-group type: P-6m2
* ρ: 4.86 g/cm³
* VASP energy: -22.7 eV for the cell shown
* total magnetization: 0.483 μB/atom

abc: 3.838 3.838 3.530
angles: 90.00 90.00 120.00
Last column: magnetic moment on the atom in μB.
Element x y z (fractional)
Sc 0.333 0.667 0.500  -0.04
Fe 0.000 0.000 0.000  1.42
P 0.667 0.333 0.000  0.02